Compound: ReBPd
Source: OQMD
Functional: PBE
Structure: relaxed

Lattice parameters (Å, degrees): 3.980 3.980 3.980 60.00 60.00 60.00
Fractional coordinates of all 3 atoms:
Re  0.000  0.000  0.000
B  0.750  0.750  0.750
Pd  0.250  0.250  0.250

The calculation puts the mass density at 11305 kg/m³. The spin magnetization is 0.12 μB per cell. Its offset from the most stable computed form is 0.000 eV per atom. Its space group is No. 216.